[1]
Density functional theory data (GGA-PBE) for LaTbPm2Ho after structural relaxation.

Values from the calculation:
total magnetization = 0.02 μB per formula unit
calculated density = 7.13 g/cm³
total DFT energy (no corrections) = -4.45 eV per atom
volume = 35.05 A^3/atom
D(E_F) = 14.474 states/eV per cell
formation energy = 0.28 eV/atom

The structure in POSCAR format:
```
LaTbPm2Ho
1.0
-3.498 -4.853 2.589
-1.695 -2.989 -7.893
5.307 -3.240 1.097
La Tb Pm Ho
2 2 4 2
Direct
0.000 0.000 0.000 La
0.000 0.000 0.500 La
0.557 0.000 0.250 Tb
0.443 0.000 0.750 Tb
0.686 0.686 0.797 Pm
0.686 0.314 0.703 Pm
0.314 0.686 0.297 Pm
0.314 0.314 0.203 Pm
0.166 0.500 0.750 Ho
0.834 0.500 0.250 Ho
```

=====

[2]
Density functional theory data (GGA-PBE) for ZrScAsS after structural relaxation.

Values from the calculation:
total magnetization = 0.00 μB per formula unit
calculated density = 5.14 g/cm³
total DFT energy (no corrections) = -7.28 eV per atom
volume = 19.65 A^3/atom
D(E_F) = 2.281 states/eV per cell
E_form (uncorrected) = -31.582 kcal/mol of atoms

The structure in POSCAR format:
```
ZrScAsS
1.0
-0.503 3.452 -1.202
0.345 -2.765 -2.419
-6.381 -2.301 1.720
Zr Sc As S
1 1 1 1
Direct
0.131 0.963 0.109 Zr
0.477 0.137 0.630 Sc
0.302 0.549 0.867 As
0.967 0.382 0.364 S
```

=====

[3]
Density functional theory data (GGA-PBE) for CaMgPdBr2 after structural relaxation.

Values from the calculation:
total magnetization = 0.00 μB per formula unit
calculated density = 3.67 g/cm³
total DFT energy (no corrections) = -2.76 eV per atom
volume = 29.89 A^3/atom
D(E_F) = 1.208 states/eV per cell
E_form (uncorrected) = -7.597 kcal/mol of atoms

The structure in POSCAR format:
```
CaMgPdBr2
1.0
5.304 0.000 0.000
0.000 5.313 0.000
0.000 0.000 5.304
Mg Ca Br Pd
1 1 2 1
Direct
0.500 0.500 0.500 Mg
0.000 0.500 0.000 Ca
0.000 0.000 0.500 Br
0.500 0.000 0.000 Br
0.000 0.000 0.000 Pd
```

=====

[4]
Density functional theory data (GGA-PBE) for RbMg3Tl4F12 after structural relaxation.

Values from the calculation:
total magnetization = 0.00 μB per formula unit
calculated density = 6.07 g/cm³
total DFT energy (no corrections) = -4.42 eV per atom
volume = 16.46 A^3/atom
D(E_F) = 14.183 states/eV per cell
E_form (uncorrected) = -58.531 kcal/mol of atoms

The structure in POSCAR format:
```
RbMg3Tl4F12
1.0
-0.254 7.503 0.638
-2.196 -2.007 -6.921
-4.597 -3.111 5.094
Rb Mg Tl F
1 3 4 12
Direct
0.000 0.000 0.000 Rb
0.500 0.000 0.500 Mg
0.500 0.500 0.000 Mg
0.000 0.500 0.500 Mg
0.500 0.500 0.500 Tl
0.000 0.000 0.500 Tl
0.500 0.000 0.000 Tl
0.000 0.500 0.000 Tl
0.250 0.500 0.750 F
0.715 0.000 0.715 F
0.285 0.000 0.285 F
0.750 0.500 0.250 F
0.715 0.715 0.000 F
0.285 0.285 0.000 F
0.750 0.250 0.500 F
0.250 0.750 0.500 F
0.500 0.250 0.750 F
0.000 0.715 0.715 F
0.500 0.750 0.250 F
0.000 0.285 0.285 F
```